(1)
{
  "formula": "K2HSe",
  "functional": "PBE",
  "state": "relaxed",
  "dft_energy_ev_per_atom": -2.747,
  "n_ef_per_ev_atom": 0.226,
  "de_polymorph_mev_per_atom": 0.0,
  "vol_a3_per_atom": 32.29,
  "lattice_angstrom": [[11.3907, 0.0000, 0.0000], [0.0000, 11.3907, 0.0000], [5.6954, 5.6954, 1.9907]],
  "species": ["K", "K", "K", "K", "Se", "Se", "H", "H"],
  "fractional_positions": [[0.8750, 0.6229, 0.7500], [0.3729, 0.1250, 0.2500], [0.3750, 0.6271, 0.7500], [0.3771, 0.6250, 0.2500], [0.0000, 0.0000, 0.0000], [0.7500, 0.2500, 0.5000], [0.5000, 0.5000, 0.0000], [0.2500, 0.7500, 0.5000]]
}



(2)
{
  "formula": "KH3Se",
  "functional": "PBE",
  "state": "relaxed",
  "dft_energy_ev_per_atom": -3.333,
  "n_ef_per_ev_atom": 0.000,
  "de_polymorph_mev_per_atom": 0.0,
  "vol_a3_per_atom": 20.26,
  "lattice_angstrom": [[4.5713, 0.0000, 0.0000], [0.0000, 4.9110, 0.0000], [0.0000, 0.0000, 9.0266]],
  "species": ["H", "H", "H", "H", "H", "H", "Se", "Se", "K", "K"],
  "fractional_positions": [[0.5000, 0.4236, 0.0367], [0.5000, 0.3108, 0.5305], [0.5000, 0.9236, 0.9633], [0.5000, 0.7043, 0.4087], [0.5000, 0.2043, 0.5913], [0.5000, 0.8108, 0.4695], [0.5000, 0.7808, 0.8160], [0.5000, 0.2808, 0.1840], [0.0000, 0.2805, 0.8108], [0.0000, 0.7805, 0.1892]]
}



(3)
{
  "formula": "KHSe3",
  "functional": "PBE",
  "state": "relaxed",
  "dft_energy_ev_per_atom": -3.373,
  "de_polymorph_mev_per_atom": 0.0,
  "vol_a3_per_atom": 28.81,
  "lattice_angstrom": [[8.6047, 1.9951, -1.6145], [2.9829, 5.4384, -2.2310], [-2.2843, -1.7103, 7.8973]],
  "species": ["K", "K", "H", "H", "Se", "Se", "Se", "Se", "Se", "Se"],
  "fractional_positions": [[0.9390, 0.0170, 0.8095], [0.5121, 0.8851, 0.8379], [0.6969, 0.2920, 0.3333], [0.7545, 0.6091, 0.3139], [0.5622, 0.8804, 0.2787], [0.0234, 0.5174, 0.8984], [0.4277, 0.3844, 0.7487], [0.1023, 0.2312, 0.5545], [0.8893, 0.0206, 0.3684], [0.3490, 0.6704, 0.0927]]
}



(4)
{
  "formula": "K2HSe",
  "functional": "PBE",
  "state": "relaxed",
  "dft_energy_ev_per_atom": -2.621,
  "n_ef_per_ev_atom": 0.141,
  "de_polymorph_mev_per_atom": 126.1,
  "vol_a3_per_atom": 28.16,
  "lattice_angstrom": [[2.6751, 4.1813, 2.1792], [-1.8534, 2.3421, 4.5242], [2.6762, -0.6327, 4.6719]],
  "species": ["H", "Se", "K", "K"],
  "fractional_positions": [[0.0000, 0.0000, 0.0000], [0.5000, 0.5000, 0.5000], [0.7500, 0.7500, 0.7500], [0.2500, 0.2500, 0.2500]]
}